## Dy6Er7 (PBE)

Data for Dy6Er7 after structural relaxation.

Computed properties:
The calculation puts the total energy at -56.053 eV for the cell shown. The calculation puts the energy of formation at 269 meV per atom. As for the density: 8.473 Mg/m³.

```
data_Dy6Er7
_symmetry_space_group_name_H-M 'P 1'
_symmetry_Int_Tables_number 1
_symmetry_space_group_name_Hall 'P 1'
_cell_length_a 6.4810
_cell_length_b 6.4810
_cell_length_c 12.1508
_cell_angle_alpha 74.53
_cell_angle_beta 74.53
_cell_angle_gamma 60.00
loop_
_atom_site_label
_atom_site_fract_x
_atom_site_fract_y
_atom_site_fract_z
Dy1 0.1666 0.1666 0.5002
Er1 0.0891 0.0891 0.2370
Er2 0.9109 0.4153 0.7630
Dy2 0.8334 0.8334 0.4998
Er3 0.4153 0.9109 0.7630
Dy3 0.6485 0.6485 0.0545
Er4 0.0891 0.5847 0.2370
Dy4 0.3515 0.3515 0.9455
Dy5 0.4534 0.4534 0.6397
Dy6 0.5466 0.5466 0.3603
Er5 0.9109 0.9109 0.7630
Er6 0.5847 0.0891 0.2370
Er7 0.0000 0.0000 0.0000
```

## Dy3Er8 (PBE)

Data for Dy3Er8 after structural relaxation.

Computed properties:
The calculation puts the total energy at -43.735 eV for the cell shown. The calculation puts the energy of formation at 598 meV per atom. As for the density: 8.612 Mg/m³.

```
data_Dy3Er8
_symmetry_space_group_name_H-M 'P 1'
_symmetry_Int_Tables_number 1
_symmetry_space_group_name_Hall 'P 1'
_cell_length_a 7.1076
_cell_length_b 7.1076
_cell_length_c 7.1076
_cell_angle_alpha 83.17
_cell_angle_beta 83.17
_cell_angle_gamma 83.17
loop_
_atom_site_label
_atom_site_fract_x
_atom_site_fract_y
_atom_site_fract_z
Dy1 0.0000 0.5000 0.5000
Er1 0.1220 0.6990 0.8416
Er2 0.8780 0.3010 0.1584
Dy2 0.5000 0.0000 0.5000
Er3 0.6094 0.6094 0.6094
Er4 0.8416 0.1220 0.6990
Er5 0.6990 0.8416 0.1220
Dy3 0.5000 0.5000 0.0000
Er6 0.3010 0.1584 0.8780
Er7 0.3906 0.3906 0.3906
Er8 0.1584 0.8780 0.3010
```

## DyEr7 (PBE)

Data for DyEr7 after structural relaxation.

Computed properties:
The calculation puts the total energy at -36.341 eV for the cell shown. The calculation puts the energy of formation at 25 meV per atom. As for the density: 9.129 Mg/m³.

```
data_DyEr7
_symmetry_space_group_name_H-M 'P 1'
_symmetry_Int_Tables_number 1
_symmetry_space_group_name_Hall 'P 1'
_cell_length_a 6.9999
_cell_length_b 6.9999
_cell_length_c 6.9999
_cell_angle_alpha 60.00
_cell_angle_beta 60.00
_cell_angle_gamma 60.00
loop_
_atom_site_label
_atom_site_fract_x
_atom_site_fract_y
_atom_site_fract_z
Er1 0.5000 0.0000 0.0000
Dy1 0.0000 0.0000 0.0000
Er2 0.5000 0.0000 0.5000
Er3 0.0000 0.5000 0.0000
Er4 0.0000 0.5000 0.5000
Er5 0.5000 0.5000 0.0000
Er6 0.5000 0.5000 0.5000
Er7 0.0000 0.0000 0.5000
```

## EuDy4Er (PBE)

Data for EuDy4Er after structural relaxation.

Computed properties:
The calculation puts the total energy at -31.765 eV for the cell shown. The calculation puts the energy of formation at 247 meV per atom. As for the density: 7.755 Mg/m³.

```
data_EuDy4Er
_symmetry_space_group_name_H-M 'P 1'
_symmetry_Int_Tables_number 1
_symmetry_space_group_name_Hall 'P 1'
_cell_length_a 6.6457
_cell_length_b 6.6457
_cell_length_c 6.6457
_cell_angle_alpha 60.00
_cell_angle_beta 60.00
_cell_angle_gamma 60.00
loop_
_atom_site_label
_atom_site_fract_x
_atom_site_fract_y
_atom_site_fract_z
Dy1 0.6268 0.6268 0.1197
Dy2 0.6268 0.1197 0.6268
Dy3 0.6268 0.6268 0.6268
Dy4 0.1197 0.6268 0.6268
Er1 0.0000 0.0000 0.0000
Eu1 0.2500 0.2500 0.2500
```